# PBE Ho2Ga2SiRh5, relaxed
data_Ho2Ga2SiRh5
_chemical_formula_sum 'Ho4 Ga4 Si2 Rh10'
_cell_length_a 9.757
_cell_length_b 9.757
_cell_length_c 3.445
_cell_angle_alpha 90.00
_cell_angle_beta 90.00
_cell_angle_gamma 90.00
_space_group_name_H-M_alt 'P 4/m b m'
_space_group_IT_number 127
_space_group_name_Hall '-P 4 2ab'
loop_
_atom_site_label
_atom_site_fract_x
_atom_site_fract_y
_atom_site_fract_z
_atom_site_occupancy
Ho1 0.172 0.328 0.000 1
Ga1 0.128 0.628 0.000 1
Si1 0.000 0.000 0.000 1
Rh1 0.000 0.500 0.500 1
Rh2 0.065 0.804 0.500 1
# calculated total energy	-131.156	eV/cell
# total magnetization	0.0	μB per formula unit
# N(E_F)	6.12	states/eV/cell

# PBE Ho2GaSi2Rh5, relaxed
data_Ho2GaSi2Rh5
_chemical_formula_sum 'Ho4 Ga2 Si4 Rh10'
_cell_length_a 9.691
_cell_length_b 9.691
_cell_length_c 3.457
_cell_angle_alpha 90.00
_cell_angle_beta 90.00
_cell_angle_gamma 90.00
_space_group_name_H-M_alt 'P 4/m b m'
_space_group_IT_number 127
_space_group_name_Hall '-P 4 2ab'
loop_
_atom_site_label
_atom_site_fract_x
_atom_site_fract_y
_atom_site_fract_z
_atom_site_occupancy
Ho1 0.175 0.325 0.000 1
Ga1 0.000 0.000 0.000 1
Si1 0.124 0.624 0.000 1
Rh1 0.000 0.500 0.500 1
Rh2 0.069 0.789 0.500 1
# calculated total energy	-138.974	eV/cell
# total magnetization	0.0	μB per formula unit
# N(E_F)	6.44	states/eV/cell

# PBE SmHoGaRh, relaxed
data_SmHoGaRh
_chemical_formula_sum 'Sm4 Ho4 Ga4 Rh4'
_cell_length_a 7.079
_cell_length_b 7.079
_cell_length_c 7.079
_cell_angle_alpha 90.00
_cell_angle_beta 90.00
_cell_angle_gamma 90.00
_space_group_name_H-M_alt 'F -4 3 m'
_space_group_IT_number 216
_space_group_name_Hall 'F -4 2 3'
loop_
_atom_site_label
_atom_site_fract_x
_atom_site_fract_y
_atom_site_fract_z
_atom_site_occupancy
Sm1 0.000 0.000 0.000 1
Ho1 0.000 0.000 0.500 1
Ga1 0.250 0.250 0.250 1
Rh1 0.250 0.250 0.750 1
# distance to the lowest polymorph of the same formula	76	meV per atom
# calculated total energy	-88.874	eV/cell
# total magnetization	0.0	μB per formula unit
# formation energy	-2.54	eV/f.u.
# N(E_F)	12.54	states/eV/cell

# PBE SmHoGa2Rh2, relaxed
data_SmHoGa2Rh2
_chemical_formula_sum 'Sm1 Ho1 Ga2 Rh2'
_cell_length_a 4.4045
_cell_length_b 4.4045
_cell_length_c 7.1499
_cell_angle_alpha 90.00
_cell_angle_beta 90.00
_cell_angle_gamma 120.00
_space_group_name_H-M_alt 'P -3 m 1'
_space_group_IT_number 164
_space_group_name_Hall '-P 3 2"'
loop_
_atom_site_label
_atom_site_fract_x
_atom_site_fract_y
_atom_site_fract_z
_atom_site_occupancy
Sm1 0.0000 0.0000 0.0000 1
Ho1 0.0000 0.0000 0.5000 1
Ga1 0.3333 0.6667 0.2641 1
Rh1 0.3333 0.6667 0.7276 1
# calculated total energy	-34.924	eV/cell
# total magnetization	0.0	μB per formula unit
# formation energy	-4.87	eV/f.u.
# N(E_F)	4.50	states/eV/cell

# PBE Sm2Ho2GaRh4, relaxed
data_Sm2Ho2GaRh4
_chemical_formula_sum 'Sm4 Ho4 Ga2 Rh8'
_cell_length_a 6.631
_cell_length_b 6.631
_cell_length_c 8.783
_cell_angle_alpha 90.00
_cell_angle_beta 90.00
_cell_angle_gamma 90.00
_space_group_name_H-M_alt 'I 4/m m m'
_space_group_IT_number 139
_space_group_name_Hall '-I 4 2'
loop_
_atom_site_label
_atom_site_fract_x
_atom_site_fract_y
_atom_site_fract_z
_atom_site_occupancy
Sm1 0.000 0.000 0.186 1
Ho1 0.000 0.500 0.250 1
Ga1 0.000 0.000 0.500 1
Rh1 0.242 0.242 0.000 1
# calculated total energy	-110.108	eV/cell
# total magnetization	0.0	μB per formula unit
# formation energy	-4.03	eV/f.u.
# N(E_F)	12.50	states/eV/cell

# PBE SmHoGaRh, relaxed
data_SmHoGaRh
_chemical_formula_sum 'Sm2 Ho2 Ga2 Rh2'
_cell_length_a 3.951
_cell_length_b 4.279
_cell_length_c 10.953
_cell_angle_alpha 90.00
_cell_angle_beta 90.00
_cell_angle_gamma 90.00
_space_group_name_H-M_alt 'A m m 2'
_space_group_IT_number 38
loop_
_space_group_symop_operation_xyz
'x,y,z'
'-x,-y,z'
'-x,y,z'
'x,-y,z'
'x,y+1/2,z+1/2'
'-x,-y+1/2,z+1/2'
'-x,y+1/2,z+1/2'
'x,-y+1/2,z+1/2'
loop_
_atom_site_label
_atom_site_fract_x
_atom_site_fract_y
_atom_site_fract_z
_atom_site_occupancy
Sm1 0.000 0.000 0.000 1
Ho1 0.500 0.000 0.286 1
Ga1 0.500 0.000 0.584 1
Rh1 0.000 0.000 0.738 1
# distance to the lowest polymorph of the same formula	0	meV per atom
# calculated total energy	-45.044	eV/cell
# total magnetization	0.0	μB per formula unit
# formation energy	-2.85	eV/f.u.
# N(E_F)	6.07	states/eV/cell

# PBE HoGaSnRh, relaxed
data_HoGaSnRh
_chemical_formula_sum 'Ho4 Ga4 Sn4 Rh4'
_cell_length_a 6.810
_cell_length_b 6.810
_cell_length_c 6.810
_cell_angle_alpha 90.00
_cell_angle_beta 90.00
_cell_angle_gamma 90.00
_space_group_name_H-M_alt 'F -4 3 m'
_space_group_IT_number 216
_space_group_name_Hall 'F -4 2 3'
loop_
_atom_site_label
_atom_site_fract_x
_atom_site_fract_y
_atom_site_fract_z
_atom_site_occupancy
Ho1 0.000 0.000 0.000 1
Ga1 0.250 0.250 0.250 1
Sn1 0.000 0.000 0.500 1
Rh1 0.250 0.250 0.750 1
# calculated total energy	-84.313	eV/cell
# total magnetization	0.0	μB per formula unit
# formation energy	-2.12	eV/f.u.
# N(E_F)	14.26	states/eV/cell

# PBE TbHoGaRh, relaxed
data_TbHoGaRh
_chemical_formula_sum 'Tb4 Ho4 Ga4 Rh4'
_cell_length_a 7.019
_cell_length_b 7.019
_cell_length_c 7.019
_cell_angle_alpha 90.00
_cell_angle_beta 90.00
_cell_angle_gamma 90.00
_space_group_name_H-M_alt 'F -4 3 m'
_space_group_IT_number 216
_space_group_name_Hall 'F -4 2 3'
loop_
_atom_site_label
_atom_site_fract_x
_atom_site_fract_y
_atom_site_fract_z
_atom_site_occupancy
Tb1 0.000 0.000 0.000 1
Ho1 0.000 0.000 0.500 1
Ga1 0.250 0.250 0.250 1
Rh1 0.250 0.250 0.750 1
# distance to the lowest polymorph of the same formula	57	meV per atom
# calculated total energy	-89.248	eV/cell
# total magnetization	0.0	μB per formula unit
# formation energy	-2.73	eV/f.u.
# N(E_F)	9.52	states/eV/cell

Q: Number 1 is which compound?
A: Ho2Ga2SiRh5

Q: What is the formula in the fourth record?
A: SmHoGa2Rh2

Please write out number 6 again, unchanged.
# PBE SmHoGaRh, relaxed
data_SmHoGaRh
_chemical_formula_sum 'Sm2 Ho2 Ga2 Rh2'
_cell_length_a 3.951
_cell_length_b 4.279
_cell_length_c 10.953
_cell_angle_alpha 90.00
_cell_angle_beta 90.00
_cell_angle_gamma 90.00
_space_group_name_H-M_alt 'A m m 2'
_space_group_IT_number 38
loop_
_space_group_symop_operation_xyz
'x,y,z'
'-x,-y,z'
'-x,y,z'
'x,-y,z'
'x,y+1/2,z+1/2'
'-x,-y+1/2,z+1/2'
'-x,y+1/2,z+1/2'
'x,-y+1/2,z+1/2'
loop_
_atom_site_label
_atom_site_fract_x
_atom_site_fract_y
_atom_site_fract_z
_atom_site_occupancy
Sm1 0.000 0.000 0.000 1
Ho1 0.500 0.000 0.286 1
Ga1 0.500 0.000 0.584 1
Rh1 0.000 0.000 0.738 1
# distance to the lowest polymorph of the same formula	0	meV per atom
# calculated total energy	-45.044	eV/cell
# total magnetization	0.0	μB per formula unit
# formation energy	-2.85	eV/f.u.
# N(E_F)	6.07	states/eV/cell